DFT (PBE-GGA) results for a relaxed structure of BaNaHSe.

## Properties
VASP energy   -3.451 eV per atom

Cell: 7.376 7.376 7.376 Å, 90.00 90.00 90.00°
Space group F-43m (No. 216)
Symmetry-distinct sites (fractional):
Ba 0.000 0.000 0.000 (multiplicity 4)
Na 0.000 0.000 0.500 (multiplicity 4)
H 0.250 0.250 0.250 (multiplicity 4)
Se 0.250 0.250 0.750 (multiplicity 4)

DFT (PBE-GGA) results for a relaxed structure of YZn3Au3.

## Properties
Distance to the lowest polymorph of the same formula   0.460 eV/atom
Formation enthalpy at 0 K   60 meV/atom
VASP energy   -2.814 eV per atom

Cell: 6.974 6.974 6.974 Å, 90.00 90.00 90.00°
Space group Pm-3n (No. 223)
Symmetry-distinct sites (fractional):
Y 0.000 0.000 0.000 (multiplicity 2)
Zn 0.000 0.250 0.500 (multiplicity 6)
Au 0.000 0.500 0.250 (multiplicity 6)

DFT (PBE-GGA) results for a relaxed structure of Cs4KS.

## Properties
Formation energy from raw total energies   -0.48 eV/atom
VASP energy   -1.919 eV per atom

Cell: 8.998 9.383 12.699 Å, 107.70 110.59 90.05°
Space group P-1 (No. 2)
Symmetry-distinct sites (fractional):
Cs 0.024 0.089 0.280 (multiplicity 2)
Cs 0.243 0.332 0.089 (multiplicity 2)
Cs 0.245 0.411 0.720 (multiplicity 2)
Cs 0.344 0.832 0.088 (multiplicity 2)
K 0.368 0.750 0.500 (multiplicity 2)
S 0.000 0.000 0.000 (multiplicity 1)
S 0.500 0.500 0.000 (multiplicity 1)

DFT (PBE-GGA) results for a relaxed structure of KTc2AsO8.

## Properties
Formation energy from raw total energies   -1.32 eV/atom
VASP energy   -6.834 eV per atom

Cell: 8.778 6.005 8.119 Å, 90.00 95.82 90.00°
Space group C2/m (No. 12)
Symmetry-distinct sites (fractional):
K 0.000 0.000 0.000 (multiplicity 2)
Tc 0.120 0.500 0.275 (multiplicity 4)
As 0.000 0.000 0.500 (multiplicity 2)
O 0.010 0.253 0.301 (multiplicity 8)
O 0.196 0.500 0.085 (multiplicity 4)
O 0.227 0.000 0.556 (multiplicity 4)

DFT (PBE-GGA) results for a relaxed structure of AcPr5Rh4.

## Properties
Formation enthalpy at 0 K   -528 meV/atom
VASP energy   -6.269 eV per atom

Cell: 18.887 4.372 7.784 Å, 90.00 114.29 90.00°
Space group C2/m (No. 12)
Symmetry-distinct sites (fractional):
Ac 0.000 0.000 0.000 (multiplicity 2)
Pr 0.000 0.000 0.500 (multiplicity 2)
Pr 0.166 0.500 0.411 (multiplicity 4)
Pr 0.166 0.500 0.921 (multiplicity 4)
Rh 0.000 0.500 0.263 (multiplicity 4)
Rh 0.199 0.000 0.199 (multiplicity 4)

DFT (PBE-GGA) results for a relaxed structure of LaSm2P3.

## Properties
Formation enthalpy at 0 K   -1566 meV/atom
VASP energy   -6.665 eV per atom

Cell: 4.166 5.890 12.492 Å, 90.00 90.00 90.00°
Space group Immm (No. 71)
Symmetry-distinct sites (fractional):
La 0.000 0.000 0.000 (multiplicity 2)
Sm 0.000 0.000 0.334 (multiplicity 4)
P 0.000 0.500 0.000 (multiplicity 2)
P 0.000 0.500 0.329 (multiplicity 4)